(1)
{
  "formula": "TbTcC",
  "functional": "PBE",
  "state": "optimized geometry",
  "lattice_angstrom": [[6.327, 0.000, 0.000], [0.000, 5.436, 0.000], [-2.579, 0.000, 5.428]],
  "species": ["Tb", "Tb", "Tb", "Tb", "Tc", "Tc", "Tc", "Tc", "C", "C", "C", "C"],
  "fractional_positions": [[0.154, 0.136, 0.362], [0.154, 0.364, 0.862], [0.846, 0.636, 0.138], [0.846, 0.864, 0.638], [0.406, 0.652, 0.630], [0.406, 0.848, 0.130], [0.594, 0.152, 0.870], [0.594, 0.348, 0.370], [0.276, 0.548, 0.269], [0.276, 0.952, 0.769], [0.724, 0.048, 0.231], [0.724, 0.452, 0.731]],
  "e_above_lowest_polymorph_mev_per_atom": 0,
  "e_form_ev_per_atom": -0.21
}

***

(2)
{
  "formula": "Cd5RhAu",
  "functional": "PBE",
  "state": "optimized geometry",
  "lattice_angstrom": [[5.649, -4.075, 0.000], [5.649, 4.075, 0.000], [-3.470, 0.000, 9.118]],
  "species": ["Cd", "Cd", "Cd", "Cd", "Cd", "Cd", "Cd", "Cd", "Cd", "Cd", "Rh", "Rh", "Au", "Au"],
  "fractional_positions": [[0.110, 0.890, 0.750], [0.246, 0.247, 0.595], [0.247, 0.246, 0.095], [0.288, 0.651, 0.018], [0.349, 0.712, 0.482], [0.651, 0.288, 0.518], [0.712, 0.349, 0.982], [0.753, 0.754, 0.905], [0.754, 0.753, 0.405], [0.890, 0.110, 0.250], [0.000, 0.000, 0.000], [0.000, 0.000, 0.500], [0.462, 0.538, 0.750], [0.538, 0.462, 0.250]],
  "e_form_ev_per_atom": 0.11
}

***

(3)
{
  "formula": "In2AgRu2",
  "functional": "PBE",
  "state": "optimized geometry",
  "lattice_angstrom": [[7.183, 0.000, 0.000], [0.000, 7.183, 0.000], [0.000, 0.000, 3.557]],
  "species": ["In", "In", "In", "In", "Ag", "Ag", "Ru", "Ru", "Ru", "Ru"],
  "fractional_positions": [[0.170, 0.330, 0.000], [0.330, 0.830, 0.000], [0.670, 0.170, 0.000], [0.830, 0.670, 0.000], [0.000, 0.000, 0.500], [0.500, 0.500, 0.500], [0.129, 0.629, 0.500], [0.371, 0.129, 0.500], [0.629, 0.871, 0.500], [0.871, 0.371, 0.500]],
  "e_form_ev_per_atom": 0.22
}

***

(4)
{
  "formula": "ZrFe2W",
  "functional": "PBE",
  "state": "optimized geometry",
  "lattice_angstrom": [[5.015, -1.520, 0.000], [5.015, 1.520, 0.000], [-1.926, 0.000, 3.958]],
  "species": ["Zr", "Fe", "Fe", "W"],
  "fractional_positions": [[0.000, 0.000, 0.000], [0.236, 0.236, 0.737], [0.506, 0.506, 0.506], [0.769, 0.769, 0.270]],
  "e_form_ev_per_atom": 0.15
}

***

(5)
{
  "formula": "LaCe2Ho3Se6",
  "functional": "PBE",
  "state": "optimized geometry",
  "lattice_angstrom": [[3.561, -6.176, 0.000], [3.561, 6.176, 0.000], [-2.381, 0.000, 6.887]],
  "species": ["La", "Ce", "Ce", "Ho", "Ho", "Ho", "Se", "Se", "Se", "Se", "Se", "Se"],
  "fractional_positions": [[0.000, 0.000, 0.000], [0.333, 0.667, 0.000], [0.667, 0.333, 0.000], [0.164, 0.836, 0.500], [0.500, 0.500, 0.500], [0.836, 0.164, 0.500], [0.089, 0.427, 0.267], [0.250, 0.250, 0.736], [0.427, 0.089, 0.267], [0.573, 0.911, 0.733], [0.750, 0.750, 0.264], [0.911, 0.573, 0.733]],
  "e_form_raw_ev_per_atom": -1.812
}

***

(6)
{
  "formula": "Y4GaTe3",
  "functional": "PBE",
  "state": "optimized geometry",
  "lattice_angstrom": [[4.378, -6.139, 0.000], [4.378, 6.139, 0.000], [0.000, 0.000, 4.302]],
  "species": ["Y", "Y", "Y", "Y", "Ga", "Te", "Te", "Te"],
  "fractional_positions": [[0.227, 0.227, 0.500], [0.235, 0.765, 0.000], [0.765, 0.235, 0.000], [0.773, 0.773, 0.500], [0.000, 0.000, 0.000], [0.000, 0.500, 0.500], [0.500, 0.000, 0.500], [0.500, 0.500, 0.000]],
  "e_form_raw_ev_per_atom": -1.201,
  "e_above_lowest_polymorph_mev_per_atom": 12
}

***

(7)
{
  "formula": "LiDyBiPd",
  "functional": "PBE",
  "state": "optimized geometry",
  "lattice_angstrom": [[0.000, 3.472, 3.472], [3.472, 0.000, 3.472], [3.472, 3.472, 0.000]],
  "species": ["Li", "Dy", "Bi", "Pd"],
  "fractional_positions": [[0.000, 0.000, 0.000], [0.250, 0.250, 0.250], [0.750, 0.750, 0.750], [0.500, 0.500, 0.500]],
  "e_form_ev_per_atom": -0.58
}

***

(8)
{
  "formula": "Pm2SiOs",
  "functional": "PBE",
  "state": "optimized geometry",
  "lattice_angstrom": [[4.839, 0.000, 0.000], [0.000, 4.839, 0.000], [0.000, 0.000, 3.796]],
  "species": ["Pm", "Pm", "Si", "Os"],
  "fractional_positions": [[0.000, 0.500, 0.000], [0.500, 0.000, 0.000], [0.000, 0.000, 0.500], [0.500, 0.500, 0.500]],
  "e_form_raw_ev_per_atom": -0.164
}

***

(9)
{
  "formula": "LaAlCu2",
  "functional": "PBE",
  "state": "optimized geometry",
  "lattice_angstrom": [[2.111, 1.219, 5.277], [-2.111, 1.219, 5.277], [0.000, -2.437, 5.277]],
  "species": ["La", "Al", "Cu", "Cu"],
  "fractional_positions": [[0.000, 0.000, 0.000], [0.802, 0.802, 0.802], [0.197, 0.197, 0.197], [0.510, 0.510, 0.510]],
  "e_form_ev_per_atom": -0.26
}

***

(10)
{
  "formula": "CaErLu4",
  "functional": "PBE",
  "state": "optimized geometry",
  "lattice_angstrom": [[0.000, 4.616, 4.616], [4.616, 0.000, 4.616], [4.616, 4.616, 0.000]],
  "species": ["Ca", "Er", "Lu", "Lu", "Lu", "Lu"],
  "fractional_positions": [[0.000, 0.000, 0.000], [0.750, 0.750, 0.750], [0.376, 0.376, 0.376], [0.376, 0.376, 0.871], [0.376, 0.871, 0.376], [0.871, 0.376, 0.376]],
  "e_form_ev_per_atom": 0.23
}

***

(11)
{
  "formula": "Cs3Na2Tl3",
  "functional": "PBE",
  "state": "optimized geometry",
  "lattice_angstrom": [[3.462, -6.884, 0.000], [3.462, 6.884, 0.000], [0.000, 0.000, 15.948]],
  "species": ["Cs", "Cs", "Cs", "Cs", "Cs", "Cs", "Na", "Na", "Na", "Na", "Tl", "Tl", "Tl", "Tl", "Tl", "Tl"],
  "fractional_positions": [[0.045, 0.955, 0.750], [0.154, 0.846, 0.035], [0.154, 0.846, 0.465], [0.846, 0.154, 0.535], [0.846, 0.154, 0.965], [0.955, 0.045, 0.250], [0.349, 0.651, 0.652], [0.349, 0.651, 0.848], [0.651, 0.349, 0.152], [0.651, 0.349, 0.348], [0.296, 0.704, 0.250], [0.436, 0.564, 0.077], [0.436, 0.564, 0.423], [0.564, 0.436, 0.577], [0.564, 0.436, 0.923], [0.704, 0.296, 0.750]],
  "e_form_ev_per_atom": -0.01
}

***

(12)
{
  "formula": "Li4DyAl",
  "functional": "PBE",
  "state": "optimized geometry",
  "lattice_angstrom": [[0.000, 3.825, 3.825], [3.825, 0.000, 3.825], [3.825, 3.825, 0.000]],
  "species": ["Li", "Li", "Li", "Li", "Dy", "Al"],
  "fractional_positions": [[0.376, 0.376, 0.376], [0.376, 0.376, 0.871], [0.376, 0.871, 0.376], [0.871, 0.376, 0.376], [0.000, 0.000, 0.000], [0.750, 0.750, 0.750]],
  "e_form_ev_per_atom": -0.04
}